[1]
Compound: KAgBr2
Source: Alexandria via LeMat-Bulk
Functional: PBE
Structure: optimized geometry Values from VASP.

Structure (Quantum ESPRESSO input):
```
&SYSTEM
  ibrav = 0, nat = 4, ntyp = 3
/
ATOMIC_SPECIES
Br 79.90 Br.upf
Ag 107.87 Ag.upf
K 39.10 K.upf
ATOMIC_POSITIONS angstrom
Br 0.236 0.227 0.000
Br 2.816 2.710 0.000
Ag 0.733 2.293 1.833
K 3.559 -0.644 1.830
CELL_PARAMETERS angstrom
5.878 0.000 -0.003
0.226 5.874 0.003
-1.812 -4.226 3.663
```

Summary:
- crystal system = orthorhombic
- E_tot (eV per atom) = -2.77


[2]
Compound: Li12Ca16In
Source: Alexandria via LeMat-Bulk
Functional: PBE
Structure: optimized geometry Values from VASP.

Structure (Quantum ESPRESSO input):
```
&SYSTEM
  ibrav = 0, nat = 29, ntyp = 3
/
ATOMIC_SPECIES
Li 6.94 Li.upf
Ca 40.08 Ca.upf
In 114.82 In.upf
ATOMIC_POSITIONS angstrom
Li 0.116 3.148 -1.756
Li 3.969 6.817 -4.632
Li -2.038 6.970 5.948
Li -2.944 8.406 -0.727
Li 2.681 1.655 -1.756
Li 3.086 5.301 4.432
Li 4.944 5.434 1.887
Li 8.763 1.591 -0.727
Li -1.038 8.390 -3.116
Li 7.808 3.240 -3.116
Li 7.067 1.669 5.948
Li 2.284 6.982 1.887
Ca 4.636 2.061 3.581
Ca 1.904 3.270 1.310
Ca -0.497 5.049 3.581
Ca 0.901 5.393 -3.967
Ca 1.377 8.450 5.354
Ca 5.521 2.972 -0.237
Ca 1.368 2.350 5.246
Ca 0.135 0.231 8.055
Ca 2.442 8.242 -2.140
Ca -1.034 8.464 2.744
Ca 7.871 3.280 2.744
Ca 4.245 3.446 -3.967
Ca 0.024 0.041 0.159
Ca -0.141 6.268 -0.237
Ca 5.962 6.193 -2.140
Ca 6.668 5.369 5.354
In 2.930 5.033 -1.255
CELL_PARAMETERS angstrom
9.687 -0.002 -3.789
-4.785 8.423 -3.789
0.044 0.076 11.515
```

Summary:
- crystal system = monoclinic
- E_tot (eV per atom) = -1.99
- formation enthalpy at 0 K (eV per atom) = 0.00